Computed, not measured: an optimized crystal structure of TlHg3O at the PBE level of DFT.

The total magnetization is 0.00 μB per cell. Its symmetry is Pm-3m, No. 221. As for the density of states at the Fermi level: 0.63 states/eV/atom. Its uncorrected formation energy is 0.182 eV per atom. The final energy is -1.46 eV per atom. As for the relative energy among the computed polymorphs: 0 kJ/mol of formula units.

Cell: 5.0052 5.0052 5.0052 Å, 90.00 90.00 90.00°
Closest atoms and distances in Å follow each position.
Fractional coordinates of all 5 atoms:
Tl (0.5000, 0.5000, 0.5000)  12 Hg 3.54
Hg (0.5000, 0.0000, 0.0000)  2 O 2.50
Hg (0.0000, 0.0000, 0.5000)  2 O 2.50
Hg (0.0000, 0.5000, 0.0000)  2 O 2.50
O (0.0000, 0.0000, 0.0000)  6 Hg 2.50


Computed, not measured: an optimized crystal structure of TlHg3O at the PBE level of DFT.

The total magnetization is 0.00 μB per cell. Its symmetry is Pm-3m, No. 221. As for the density of states at the Fermi level: 4.48 states/eV/atom. Its uncorrected formation energy is 0.687 eV per atom. The final energy is -0.96 eV per atom. As for the relative energy among the computed polymorphs: 244 kJ/mol of formula units.

Cell: 5.9141 5.9141 5.9141 Å, 90.00 90.00 90.00°
Closest atoms and distances in Å follow each position.
Fractional coordinates of all 5 atoms:
Hg (0.0000, 0.5000, 0.0000)  2 Tl 2.96
Hg (0.5000, 0.0000, 0.0000)  2 Tl 2.96
Hg (0.0000, 0.0000, 0.5000)  2 Tl 2.96
O (0.5000, 0.5000, 0.5000)  12 Hg 4.18
Tl (0.0000, 0.0000, 0.0000)  6 Hg 2.96


Computed, not measured: an optimized crystal structure of Tm4TlHgO at the PBE level of DFT.

The total magnetization is 0.00 μB per cell. Its symmetry is Cmcm, No. 63. As for the density of states at the Fermi level: 0.56 states/eV/atom. Its uncorrected formation energy is -1.064 eV per atom. The final energy is -4.71 eV per atom.

Cell: 6.4735 6.4759 8.5362 Å, 90.00 112.28 90.00°
Closest atoms and distances in Å follow each position.
Fractional coordinates of all 14 atoms:
Tl (0.8884, 0.7500, 0.7769)  9 Tm 3.04-3.30
Tl (0.1116, 0.2500, 0.2231)  9 Tm 3.04-3.30
Tm (0.0000, 0.5000, 0.5000)  2 O 2.29
Tm (0.4291, 0.7500, 0.8582)  1 O 2.91, 1 Hg 2.97
Tm (0.5000, 0.5000, 0.5000)  2 O 2.29
Tm (0.0000, 0.0000, 0.5000)  2 O 2.29
Tm (0.5000, 0.0000, 0.5000)  2 O 2.29
Tm (0.0808, 0.7500, 0.1616)  1 O 2.59
Tm (0.5709, 0.2500, 0.1418)  1 O 2.91, 1 Hg 2.97
Tm (0.9192, 0.2500, 0.8384)  1 O 2.59
Hg (0.6168, 0.7500, 0.2337)  9 Tm 2.97-3.32
Hg (0.3832, 0.2500, 0.7663)  9 Tm 2.97-3.32
O (0.7553, 0.2500, 0.5107)  4 Tm 2.29
O (0.2447, 0.7500, 0.4893)  4 Tm 2.29


Computed, not measured: an optimized crystal structure of UTl2HgO6 at the PBE level of DFT.

The total magnetization is 0.00 μB per cell. Its symmetry is C2/m, No. 12. As for the density of states at the Fermi level: 0.29 states/eV/atom. Its uncorrected formation energy is -1.441 eV per atom. The final energy is -6.05 eV per atom.

Cell: 5.7498 6.1300 6.4696 Å, 118.28 116.31 90.00°
Closest atoms and distances in Å follow each position.
Fractional coordinates of all 10 atoms:
O (0.3418, 0.6694, 0.3388)  1 U 1.94
O (0.8590, 0.8418, 0.1823)  1 U 2.22, 1 Hg 2.35, 1 Tl 2.39
O (0.1410, 0.6595, 0.8177)  1 U 2.22, 1 Hg 2.35, 1 Tl 2.39
O (0.8590, 0.3405, 0.1823)  1 U 2.22, 1 Hg 2.35, 1 Tl 2.39
O (0.1410, 0.1582, 0.8177)  1 U 2.22, 1 Hg 2.35, 1 Tl 2.39
O (0.6582, 0.3306, 0.6612)  1 U 1.94
Hg (0.5000, 0.0000, 0.0000)  4 O 2.35
Tl (0.8129, 0.7511, 0.5022)  5 O 2.38-2.50
Tl (0.1871, 0.2489, 0.4978)  5 O 2.38-2.50
U (0.0000, 0.5000, 0.0000)  2 O 1.94


Computed, not measured: an optimized crystal structure of UTlHg2O6 at the PBE level of DFT.

The total magnetization is 0.00 μB per cell. Its symmetry is R-3, No. 148. As for the density of states at the Fermi level: 0.37 states/eV/atom. Its uncorrected formation energy is -1.393 eV per atom. The final energy is -5.79 eV per atom.

Cell: 5.9561 5.9560 6.1550 Å, 61.06 61.06 60.00°
Closest atoms and distances in Å follow each position.
Fractional coordinates of all 10 atoms:
Tl (0.8162, 0.8162, 0.5515)  6 O 2.42
Hg (0.0744, 0.0745, 0.7767)  3 O 2.25
Hg (0.5579, 0.5578, 0.3263)  3 O 2.25
O (0.9607, 0.5382, 0.2913)  1 U 2.12, 1 Hg 2.25
O (0.2098, 0.9607, 0.2913)  1 U 2.12, 1 Hg 2.25
O (0.0941, 0.4225, 0.8118)  1 U 2.12, 1 Hg 2.25
O (0.5382, 0.2098, 0.2913)  1 U 2.12, 1 Hg 2.25
O (0.6716, 0.0942, 0.8117)  1 U 2.12, 1 Hg 2.25
O (0.4225, 0.6716, 0.8118)  1 U 2.12, 1 Hg 2.25
U (0.3162, 0.3162, 0.0515)  6 O 2.12


Computed, not measured: an optimized crystal structure of U3Tl2HgO12 at the PBE level of DFT.

The total magnetization is 0.00 μB per cell. Its symmetry is R-3m, No. 166. Its uncorrected formation energy is -2.114 eV per atom. The final energy is -7.58 eV per atom.

Cell: 6.8172 6.8172 6.8172 Å, 74.49 74.49 74.49°
Closest atoms and distances in Å follow each position.
Fractional coordinates of all 18 atoms:
Tl (0.3962, 0.3962, 0.3962)  3 O 2.32
Tl (0.6038, 0.6038, 0.6038)  3 O 2.32
O (0.8307, 0.8307, 0.4679)  1 U 1.92
O (0.8921, 0.2514, 0.2514)  2 U 2.19
O (0.1693, 0.1693, 0.5321)  1 U 1.92
O (0.5321, 0.1693, 0.1693)  1 U 1.92
O (0.4679, 0.8307, 0.8307)  1 U 1.92
O (0.2514, 0.2514, 0.8921)  2 U 2.19
O (0.8307, 0.4679, 0.8307)  1 U 1.92
O (0.1079, 0.7486, 0.7486)  2 U 2.19
O (0.2514, 0.8921, 0.2514)  2 U 2.19
O (0.7486, 0.1079, 0.7486)  2 U 2.19
O (0.7486, 0.7486, 0.1079)  2 U 2.19
O (0.1693, 0.5321, 0.1693)  1 U 1.92
U (0.0000, 0.5000, 0.0000)  2 O 1.92
U (0.5000, 0.0000, 0.0000)  2 O 1.92
U (0.0000, 0.0000, 0.5000)  2 O 1.92
Hg (0.0000, 0.0000, 0.0000)  6 O 2.58